! Rb2ZnOsBr6 | Alexandria | PBE | relaxed; values from VASP
&SYSTEM
  ibrav = 0, nat = 10, ntyp = 4
/
ATOMIC_SPECIES
Rb 85.47 Rb.upf
Zn 65.41 Zn.upf
Os 190.23 Os.upf
Br 79.90 Br.upf
ATOMIC_POSITIONS angstrom
Rb 3.7815 0.0000 2.6782
Rb 0.0000 3.7815 2.6782
Zn 0.0000 0.0000 0.0000
Os 0.0000 0.0000 5.3564
Br 0.0000 0.0000 2.7973
Br 1.9705 1.9705 0.0000
Br 1.8110 -1.8110 5.3564
Br -1.8110 1.8110 5.3564
Br 0.0000 0.0000 7.9155
Br 1.8110 1.8110 5.3564
CELL_PARAMETERS angstrom
-3.7815 3.7815 5.3564
3.7815 -3.7815 5.3564
3.7815 3.7815 -5.3564
! M_tot: 1.44 Bohr magnetons per cell
! E: -31.64 eV per cell
! Raw formation energy: -7.161 eV per formula unit
! Density of states at the Fermi level: 9.08 states/eV per cell
! Space group: I4/mmm